Density functional theory data (PBE-GGA) for crystalline CoC3Cl at its relaxed geometry.

Excess energy over the best structure of this formula in the dataset: 1152 meV per atom
VASP energy: -3.88 eV/atom
Space group: Pm-3m
Size of the total moment: 0.00 μB per cell
Crystal system: cubic

Unit cell a=3.5654 b=3.5654 c=3.5654 alpha=90.00 beta=90.00 gamma=90.00
Last column: nearest neighbours and their distance in Å.
Fractional positions:
Co 0.0000 0.0000 0.0000  12 C 2.52
C 0.0000 0.5000 0.5000  2 Cl 1.78
C 0.5000 0.0000 0.5000  2 Cl 1.78
C 0.5000 0.5000 0.0000  2 Cl 1.78
Cl 0.5000 0.5000 0.5000  6 C 1.78

---

Density functional theory data (PBE-GGA) for crystalline Ho3CdAg4 at its relaxed geometry.

Excess energy over the best structure of this formula in the dataset: 0 meV per atom
VASP energy: -3.52 eV/atom
Space group: Pmma
Size of the total moment: 0.00 μB per cell
Crystal system: orthorhombic

Unit cell a=10.0252 b=7.1959 c=5.0105 alpha=90.00 beta=90.00 gamma=90.00
Last column: nearest neighbours and their distance in Å.
Fractional positions:
Ho 0.0000 0.0000 0.0000  8 Ag 3.09
Ho 0.2500 0.0000 0.4991  8 Ag 3.09
Ho 0.2500 0.5000 0.4988  8 Ag 3.08
Ho 0.5000 0.0000 0.0000  8 Ag 3.09
Ho 0.7500 0.0000 0.5009  8 Ag 3.09
Ho 0.7500 0.5000 0.5012  8 Ag 3.08
Cd 0.0000 0.5000 0.0000  8 Ag 3.08
Cd 0.5000 0.5000 0.0000  8 Ag 3.08
Ag 0.0000 0.2514 0.5000  2 Cd 3.08, 6 Ho 3.08-3.09
Ag 0.0000 0.7486 0.5000  2 Cd 3.08, 6 Ho 3.08-3.09
Ag 0.2500 0.2512 0.9986  6 Ho 3.08-3.09, 2 Cd 3.08
Ag 0.2500 0.7488 0.9986  6 Ho 3.08-3.09, 2 Cd 3.08
Ag 0.5000 0.2514 0.5000  2 Cd 3.08, 6 Ho 3.08-3.09
Ag 0.5000 0.7486 0.5000  2 Cd 3.08, 6 Ho 3.08-3.09
Ag 0.7500 0.2512 0.0014  6 Ho 3.08-3.09, 2 Cd 3.08
Ag 0.7500 0.7488 0.0014  6 Ho 3.08-3.09, 2 Cd 3.08

---

Density functional theory data (PBE-GGA) for crystalline Na2AgBi at its relaxed geometry.

VASP energy: -2.36 eV/atom
Space group: I-42d
Size of the total moment: 0.00 μB per cell
Crystal system: tetragonal

Unit cell a=6.8084 b=6.8084 c=6.8084 alpha=101.03 beta=101.03 gamma=128.12
Last column: nearest neighbours and their distance in Å.
Fractional positions:
Na 0.1007 0.1250 0.4757  2 Na 3.01, 2 Ag 3.01, 2 Bi 3.30
Na 0.3750 0.8993 0.0243  2 Na 3.01, 2 Ag 3.01, 2 Bi 3.30
Na 0.6493 0.6250 0.5243  2 Na 3.01, 2 Ag 3.01, 2 Bi 3.30
Na 0.8750 0.3507 0.9757  2 Na 3.01, 2 Ag 3.01, 2 Bi 3.30
Ag 0.0000 0.0000 0.0000  2 Bi 2.98, 4 Na 3.01
Ag 0.7500 0.2500 0.5000  2 Bi 2.98, 4 Na 3.01
Bi 0.2500 0.7500 0.5000  2 Ag 2.98, 4 Na 3.30
Bi 0.5000 0.5000 0.0000  2 Ag 2.98, 4 Na 3.30